1.
An optimized crystal structure of LiMgTl2Cl5. Source: Alexandria, functional PBE.

The space group is Cmc2_1 (No. 36) and the conventional cell measures 3.930, 18.217 and 13.704 Å, with angles of 90.00, 90.00 and 90.00 degrees. The asymmetric unit holds Li at (0.000, 0.067, 0.000), Mg at (0.000, 0.289, 0.578), Tl at (0.000, 0.370, 0.865), Tl at (0.000, 0.400, 0.225), Cl at (0.000, 0.003, 0.853), Cl at (0.000, 0.154, 0.553), Cl at (0.000, 0.195, 0.955), Cl at (0.000, 0.221, 0.200) and Cl at (0.000, 0.428, 0.597).

2.
An optimized crystal structure of Li3MgTl3Cl8. Source: Alexandria, functional PBE.

The space group is C2/m (No. 12) and the conventional cell measures 13.352, 7.701 and 8.643 Å, with angles of 90.00, 120.99 and 90.00 degrees. The asymmetric unit holds Li at (0.000, 0.000, 0.000), Li at (0.250, 0.250, 0.000), Mg at (0.000, 0.500, 0.000), Tl at (0.000, 0.500, 0.500), Tl at (0.250, 0.250, 0.500), Cl at (0.018, 0.259, 0.814), Cl at (0.223, 0.500, 0.186) and Cl at (0.230, 0.000, 0.188).

3.
An optimized crystal structure of LiMg2TlCl6. Source: Alexandria, functional PBE.

The space group is C2/c (No. 15) and the conventional cell measures 13.436, 13.429 and 7.567 Å, with angles of 90.00, 111.49 and 90.00 degrees. The asymmetric unit holds Li at (0.000, 0.205, 0.250), Mg at (0.189, 0.422, 0.682), Tl at (0.000, 0.121, 0.750), Cl at (0.109, 0.272, 0.548), Cl at (0.122, 0.084, 0.194) and Cl at (0.138, 0.448, 0.953).

4.
An optimized crystal structure of LiMg2TlCl. Source: Alexandria, functional PBE.

The space group is P4/mmm (No. 123) and the conventional cell measures 5.039, 5.039 and 6.003 Å, with angles of 90.00, 90.00 and 90.00 degrees. The asymmetric unit holds Li at (0.000, 0.000, 0.000), Mg at (0.000, 0.500, 0.500), Tl at (0.500, 0.500, 0.000) and Cl at (0.500, 0.500, 0.500).

5.
An optimized crystal structure of LiTmMgCl6. Source: Alexandria, functional PBE.

The space group is P-31c (No. 163) and the conventional cell measures 6.5146, 6.5146 and 11.8823 Å, with angles of 90.00, 90.00 and 120.00 degrees. The asymmetric unit holds Li at (0.0000, 0.0000, 0.0000), Tm at (0.3333, 0.6667, 0.2500), Mg at (0.3333, 0.6667, 0.7500) and Cl at (0.0101, 0.3503, 0.6293).

6.
An optimized crystal structure of LiMg2WCl. Source: Alexandria, functional PBE.

The space group is P4/mmm (No. 123) and the conventional cell measures 5.024, 5.024 and 4.093 Å, with angles of 90.00, 90.00 and 90.00 degrees. The asymmetric unit holds Li at (0.000, 0.000, 0.000), Mg at (0.000, 0.500, 0.500), W at (0.500, 0.500, 0.000) and Cl at (0.000, 0.000, 0.500).

7.
An optimized crystal structure of Li2MgZnCl6. Source: Alexandria, functional PBE.

The space group is R3 (No. 146, hexagonal axes) and the conventional cell measures 6.3461, 6.3461 and 17.2972 Å, with angles of 90.00, 90.00 and 120.00 degrees. The asymmetric unit holds Li at (0.0000, 0.0000, 0.0000), Li at (0.0000, 0.0000, 0.4960), Mg at (0.0000, 0.0000, 0.6921), Zn at (0.0000, 0.0000, 0.1949), Cl at (0.0253, 0.3463, 0.2636) and Cl at (0.0277, 0.6765, 0.7647).

8.
An optimized crystal structure of Li2MgZnCl. Source: Alexandria, functional PBE.

The space group is P4/mmm (No. 123) and the conventional cell measures 4.981, 4.981 and 5.199 Å, with angles of 90.00, 90.00 and 90.00 degrees. The asymmetric unit holds Li at (0.000, 0.500, 0.000), Mg at (0.000, 0.000, 0.500), Zn at (0.000, 0.000, 0.000) and Cl at (0.500, 0.500, 0.500).

9.
An optimized crystal structure of Li2MnCl5. Source: Alexandria, functional PBE.

The space group is Cm (No. 8) and the conventional cell measures 9.939, 8.316 and 5.971 Å, with angles of 90.00, 125.97 and 90.00 degrees. The asymmetric unit holds Li at (0.000, 0.209, 0.000), Mn at (0.301, 0.500, 0.204), Cl at (0.016, 0.500, 0.926), Cl at (0.074, 0.000, 0.362), Cl at (0.293, 0.230, 0.133) and Cl at (0.345, 0.500, 0.652).

The value obtained for the excess energy over the best structure of this formula in the dataset is 0 meV/atom.

10.
An optimized crystal structure of Li3MnCl. Source: Alexandria, functional PBE.

The space group is Pm-3m (No. 221) and the conventional cell measures 5.094, 5.094 and 5.094 Å, with angles of 90.00, 90.00 and 90.00 degrees. The asymmetric unit holds Li at (0.000, 0.000, 0.500), Mn at (0.000, 0.000, 0.000) and Cl at (0.500, 0.500, 0.500).

The value obtained for the excess energy over the best structure of this formula in the dataset is 576 meV/atom.

11.
An optimized crystal structure of LiMnCl. Source: Alexandria, functional PBE.

The space group is I4mm (No. 107) and the conventional cell measures 2.909, 2.909 and 10.476 Å, with angles of 90.00, 90.00 and 90.00 degrees. The asymmetric unit holds Li at (0.000, 0.000, 0.000), Mn at (0.000, 0.000, 0.315) and Cl at (0.000, 0.000, 0.719).

The value obtained for the excess energy over the best structure of this formula in the dataset is 569 meV/atom.

12.
An optimized crystal structure of Li2Mn2Cl7. Source: Alexandria, functional PBE.

The space group is C2/c (No. 15) and the conventional cell measures 8.996, 10.613 and 13.072 Å, with angles of 90.00, 108.95 and 90.00 degrees. The asymmetric unit holds Li at (0.177, 0.079, 0.474), Mn at (0.243, 0.247, 0.797), Cl at (0.000, 0.347, 0.750), Cl at (0.113, 0.105, 0.083), Cl at (0.190, 0.439, 0.120) and Cl at (0.222, 0.276, 0.368).

The value obtained for the excess energy over the best structure of this formula in the dataset is 39 meV/atom.

For the records above, the corresponding electronic total energy values read -30.7, -51.2, -34.9, -9.3, -37.2, -16.9, -33.4, -8.9, -33.2, -14.7, -12.2, -48.7 eV/f.u..
For the records above, the corresponding density values read 4.18, 4.11, 2.47, 3.22, 3.14, 4.42, 2.61, 1.79, 2.05, 1.40, 3.65, 2.09 Mg/m³.